Record 1
The following is a PBE-GGA calculation of a relaxed structure of Cs2USe6, from Alexandria via LeMat-Bulk.

Lattice parameters (Å, degrees): 4.7837 9.2304 8.7389 121.88 86.13 90.00
Last column: nearest neighbours and their distance in Å.
Element x y z (fractional)
Cs 0.5802 0.6840 0.3680  8 Se 3.74-3.96
Cs 0.4198 0.3160 0.6320  8 Se 3.74-3.96
U 0.0000 0.0000 0.0000  8 Se 2.73-3.00
Se 0.0986 0.3283 0.2605  1 Se 2.61, 1 U 2.73
Se 0.9014 0.0678 0.7395  1 Se 2.61, 1 U 2.73
Se 0.9014 0.6717 0.7395  1 Se 2.61, 1 U 2.73
Se 0.5000 0.1960 0.0000  2 Se 2.61
Se 0.0986 0.9322 0.2605  1 Se 2.61, 1 U 2.73
Se 0.5000 0.8040 0.0000  2 Se 2.61

Results
Formation energy from raw total energies   -866 meV/atom
N(E_F)   1.548 states/eV per cell
SG   C2/m
Total magnetic moment   0.0 μB/f.u.
Crystal system   monoclinic

Record 2
The following is a PBE-GGA calculation of a relaxed structure of CdBSeN2, from Alexandria via LeMat-Bulk.

Lattice parameters (Å, degrees): 3.4307 3.4307 7.2160 90.00 90.00 90.00
Last column: nearest neighbours and their distance in Å.
Element x y z (fractional)
B 0.0000 0.0000 0.0000  4 N 1.72
N 0.0000 0.5000 0.0000  2 B 1.72
N 0.5000 0.0000 0.0000  2 B 1.72
Se 0.0000 0.0000 0.5000  4 Cd 2.43
Cd 0.5000 0.5000 0.5000  4 Se 2.43

Results
Formation energy from raw total energies   1299 meV/atom
N(E_F)   2.391 states/eV per cell
SG   P4/mmm
Total magnetic moment   0.4 μB/f.u.
Crystal system   tetragonal

What is the formula in the first record? Cs2USe6

Look up the formation energy from raw total energies of the first one. -866 meV/atom

Which of these has the lowest total magnetic moment? Cs2USe6

What is the total magnetic moment in the second record? 0.4 μB/f.u.